No. 1
DFT (GGA-PBE) results for a geometry-optimized La5Ag4Ge structure.

Volume   27.7 Å³ per atom
Space-group type   P4/mmm
Total DFT energy (no corrections)   -4.422 eV/atom
M_tot   0.38 Bohr magnetons per cell
Crystal system   tetragonal
ΔE_f   -356 meV/atom

Cell: 3.868 3.868 18.514 Å, 90.00 90.00 90.00°
Element x y z (fractional)
La  0.000  0.000  0.000
La  0.000  0.000  0.204
La  0.000  0.000  0.412
La  0.000  0.000  0.588
La  0.000  0.000  0.796
Ag  0.500  0.500  0.100
Ag  0.500  0.500  0.303
Ag  0.500  0.500  0.697
Ag  0.500  0.500  0.900
Ge  0.500  0.500  0.500

=====

No. 2
DFT (GGA-PBE) results for a geometry-optimized AcTlGaO4 structure.

E_form (uncorrected)   -1946 meV per atom
Volume   18.7 Å³ per atom
Space-group type   P2_1/m
Total DFT energy (no corrections)   -6.136 eV/atom
M_tot   0.00 Bohr magnetons per cell
Crystal system   monoclinic

Cell: 6.117 5.948 7.620 Å, 90.00 109.09 90.00°
Element x y z (fractional)
Ac  0.247  0.250  0.033
Ac  0.753  0.750  0.967
Tl  0.328  0.750  0.356
Tl  0.672  0.250  0.644
Ga  0.165  0.750  0.783
Ga  0.835  0.250  0.217
O  0.024  0.007  0.208
O  0.024  0.493  0.208
O  0.376  0.750  0.038
O  0.389  0.750  0.671
O  0.611  0.250  0.329
O  0.624  0.250  0.962
O  0.976  0.507  0.792
O  0.976  0.993  0.792

=====

No. 3
DFT (GGA-PBE) results for a geometry-optimized TaRh6W structure.

Volume   14.6 Å³ per atom
Space-group type   P4/mmm
Total DFT energy (no corrections)   -9.044 eV/atom
M_tot   0.00 Bohr magnetons per cell
Crystal system   tetragonal
ΔE_f   -429 meV/atom

Cell: 5.491 5.491 3.885 Å, 90.00 90.00 90.00°
Element x y z (fractional)
Ta  0.000  0.000  0.000
Rh  0.000  0.500  0.000
Rh  0.253  0.253  0.500
Rh  0.253  0.747  0.500
Rh  0.500  0.000  0.000
Rh  0.747  0.253  0.500
Rh  0.747  0.747  0.500
W  0.500  0.500  0.000

=====

No. 4
DFT (GGA-PBE) results for a geometry-optimized Pm7Dy16Ho6 structure.

Volume   34.0 Å³ per atom
Space-group type   Fm-3m
Total DFT energy (no corrections)   -4.375 eV/atom
M_tot   0.00 Bohr magnetons per cell
Crystal system   cubic
ΔE_f   258 meV/atom

Cell: 11.172 11.172 11.172 Å, 60.00 60.00 60.00°
Element x y z (fractional)
Pm  0.000  0.000  0.000
Pm  0.000  0.000  0.500
Pm  0.000  0.500  0.000
Pm  0.000  0.500  0.500
Pm  0.500  0.000  0.000
Pm  0.500  0.000  0.500
Pm  0.500  0.500  0.000
Dy  0.048  0.651  0.651
Dy  0.127  0.127  0.127
Dy  0.127  0.127  0.620
Dy  0.127  0.620  0.127
Dy  0.349  0.349  0.349
Dy  0.349  0.349  0.952
Dy  0.349  0.952  0.349
Dy  0.380  0.873  0.873
Dy  0.620  0.127  0.127
Dy  0.651  0.048  0.651
Dy  0.651  0.651  0.048
Dy  0.651  0.651  0.651
Dy  0.873  0.380  0.873
Dy  0.873  0.873  0.380
Dy  0.873  0.873  0.873
Dy  0.952  0.349  0.349
Ho  0.265  0.265  0.735
Ho  0.265  0.735  0.265
Ho  0.265  0.735  0.735
Ho  0.735  0.265  0.265
Ho  0.735  0.265  0.735
Ho  0.735  0.735  0.265

=====

No. 5
DFT (GGA-PBE) results for a geometry-optimized Pm5NiGe2 structure.

Volume   24.9 Å³ per atom
Space-group type   R-3m
Total DFT energy (no corrections)   -5.215 eV/atom
M_tot   0.00 Bohr magnetons per cell
Crystal system   trigonal
ΔE_f   -369 meV/atom

Cell: 9.082 9.082 9.082 Å, 33.17 33.17 33.17°
Element x y z (fractional)
Pm  0.000  0.000  0.000
Pm  0.130  0.130  0.130
Pm  0.274  0.274  0.274
Pm  0.726  0.726  0.726
Pm  0.870  0.870  0.870
Ni  0.500  0.500  0.500
Ge  0.402  0.402  0.402
Ge  0.598  0.598  0.598

=====

No. 6
DFT (GGA-PBE) results for a geometry-optimized Ba2Cd12Ag5 structure.

Volume   23.8 Å³ per atom
Space-group type   R-3m
Total DFT energy (no corrections)   -1.702 eV/atom
M_tot   0.00 Bohr magnetons per cell
Crystal system   trigonal
ΔE_f   -171 meV/atom

Cell: 7.715 7.715 7.715 Å, 83.79 83.79 83.79°
Element x y z (fractional)
Ba  0.157  0.157  0.157
Ba  0.843  0.843  0.843
Cd  0.154  0.154  0.642
Cd  0.154  0.642  0.154
Cd  0.210  0.500  0.790
Cd  0.210  0.790  0.500
Cd  0.358  0.846  0.846
Cd  0.500  0.210  0.790
Cd  0.500  0.790  0.210
Cd  0.642  0.154  0.154
Cd  0.790  0.210  0.500
Cd  0.790  0.500  0.210
Cd  0.846  0.358  0.846
Cd  0.846  0.846  0.358
Ag  0.000  0.500  0.500
Ag  0.398  0.398  0.398
Ag  0.500  0.000  0.500
Ag  0.500  0.500  0.000
Ag  0.602  0.602  0.602

=====

Q: Number 6 is which compound?
A: Ba2Cd12Ag5

=====

Q: Which of these has the highest total DFT energy (no corrections)?
A: Ba2Cd12Ag5

=====

Q: total DFT energy (no corrections) of number 5 (Pm5NiGe2)?
A: -5.215 eV/atom

=====

What did the third record say?
DFT (GGA-PBE) results for a geometry-optimized TaRh6W structure.

Volume   14.6 Å³ per atom
Space-group type   P4/mmm
Total DFT energy (no corrections)   -9.044 eV/atom
M_tot   0.00 Bohr magnetons per cell
Crystal system   tetragonal
ΔE_f   -429 meV/atom

Cell: 5.491 5.491 3.885 Å, 90.00 90.00 90.00°
Element x y z (fractional)
Ta  0.000  0.000  0.000
Rh  0.000  0.500  0.000
Rh  0.253  0.253  0.500
Rh  0.253  0.747  0.500
Rh  0.500  0.000  0.000
Rh  0.747  0.253  0.500
Rh  0.747  0.747  0.500
W  0.500  0.500  0.000